Arrangement one

Dy2Y4Tm5 | PBE | optimized geometry

The structure belongs to space group C2/m (No. 12); the cell edges are 23.1048, 3.5215 and 8.6181 Å and the angles 90.00°, 93.84° and 90.00°. Symmetry generates all atoms from Dy at (0.1335, 0.0000, 0.1327), Y at (0.0822, 0.0000, 0.7163), Y at (0.1844, 0.5000, 0.4874), Tm at (0.0000, 0.5000, 0.0000), Tm at (0.0460, 0.5000, 0.3696) and Tm at (0.2335, 0.0000, 0.8315).

The value obtained for the density of states at the Fermi level is 1.76 states/eV per atom. As for the volume: 699.6 Å³ per cell.



Arrangement two

Dy2Y4Tm5 | PBE | optimized geometry

The structure belongs to space group C2/m (No. 12); the cell edges are 16.2482, 5.6126 and 9.1524 Å and the angles 90.00°, 123.61° and 90.00°. Symmetry generates all atoms from Dy at (0.0968, 0.0000, 0.2628), Y at (0.0474, 0.5000, 0.8069), Y at (0.1841, 0.0000, 0.9868), Tm at (0.0000, 0.0000, 0.5000), Tm at (0.1550, 0.5000, 0.5645) and Tm at (0.2168, 0.5000, 0.2610).

The value obtained for the density of states at the Fermi level is 1.88 states/eV per atom. As for the volume: 695.1 Å³ per cell.



Top of the stability list: arrangement one, leading by 0.024 eV/atom.



Arrangement one

Dy6YTm3 | PBE | optimized geometry

The structure belongs to space group Cmc2_1 (No. 36); the cell edges are 10.9236, 18.8787 and 6.1561 Å and the angles 90.00°, 90.00° and 90.00°. Symmetry generates all atoms from Dy at (0.0000, 0.0445, 0.0000), Dy at (0.0000, 0.2804, 0.2681), Dy at (0.1654, 0.4539, 0.3784), Dy at (0.2421, 0.2894, 0.5591), Y at (0.0000, 0.2035, 0.7756), Tm at (0.0000, 0.3897, 0.8423) and Tm at (0.1697, 0.1090, 0.4526).

The value obtained for the density of states at the Fermi level is 1.46 states/eV per atom. As for the volume: 1269.5 Å³ per cell.



Arrangement two

Dy6YTm3 | PBE | optimized geometry

The structure belongs to space group Cmc2_1 (No. 36); the cell edges are 9.5756, 20.8371 and 6.3302 Å and the angles 90.00°, 90.00° and 90.00°. Symmetry generates all atoms from Dy at (0.0000, 0.0148, 0.0000), Dy at (0.0000, 0.3016, 0.0278), Dy at (0.1761, 0.2808, 0.4878), Dy at (0.1809, 0.4403, 0.2451), Y at (0.0000, 0.1607, 0.8013), Tm at (0.0000, 0.4192, 0.7210) and Tm at (0.1692, 0.1260, 0.3255).

The value obtained for the density of states at the Fermi level is 1.58 states/eV per atom. As for the volume: 1263.1 Å³ per cell.



Top of the stability list: arrangement two, leading by 0.030 eV/atom.



Arrangement one

DyYTm2 | PBE | optimized geometry

The structure belongs to space group R-3m (No. 166, hexagonal axes); the cell edges are 3.5248, 3.5248 and 34.4367 Å and the angles 90.00°, 90.00° and 120.00°. Symmetry generates all atoms from Dy at (0.0000, 0.0000, 0.0000), Y at (0.0000, 0.0000, 0.5000) and Tm at (0.0000, 0.0000, 0.2504).

The value obtained for the density of states at the Fermi level is 1.56 states/eV per atom. As for the volume: 370.5 Å³ per cell.



Arrangement two

DyYTm2 | PBE | optimized geometry

The structure belongs to space group R3m (No. 160, hexagonal axes); the cell edges are 3.5527, 3.5527 and 34.0253 Å and the angles 90.00°, 90.00° and 120.00°. Symmetry generates all atoms from Dy at (0.0000, 0.0000, 0.0000), Y at (0.0000, 0.0000, 0.8343), Tm at (0.0000, 0.0000, 0.4170) and Tm at (0.0000, 0.0000, 0.5838).

The value obtained for the density of states at the Fermi level is 1.58 states/eV per atom. As for the volume: 371.9 Å³ per cell.



Arrangement three

DyYTm2 | PBE | optimized geometry

The structure belongs to space group P2/c (No. 13); the cell edges are 6.9082, 6.8890 and 10.8873 Å and the angles 90.00°, 90.01° and 90.00°. Symmetry generates all atoms from Dy at (0.1255, 0.1252, 0.3868), Y at (0.3738, 0.3752, 0.6139), Tm at (0.1237, 0.3744, 0.8893) and Tm at (0.3753, 0.1243, 0.1114).

The value obtained for the density of states at the Fermi level is 1.87 states/eV per atom. As for the volume: 518.1 Å³ per cell.



Arrangement four

DyYTm2 | PBE | optimized geometry

The structure belongs to space group Fm-3m (No. 225); the cell edges are 7.9592, 7.9592 and 7.9592 Å and the angles 90.00°, 90.00° and 90.00°. Symmetry generates all atoms from Dy at (0.0000, 0.0000, 0.0000), Y at (0.0000, 0.0000, 0.5000) and Tm at (0.2500, 0.2500, 0.2500).

The value obtained for the density of states at the Fermi level is 2.56 states/eV per atom. As for the volume: 504.2 Å³ per cell.



Top of the stability list: arrangement two, leading by 0.016 eV/atom.



Arrangement one

Dy2Y7Tm2 | PBE | optimized geometry

The structure belongs to space group C2/m (No. 12); the cell edges are 8.9749, 9.4181 and 8.6127 Å and the angles 90.00°, 101.37° and 90.00°. Symmetry generates all atoms from Dy at (0.0000, 0.1765, 0.0000), Y at (0.0000, 0.5000, 0.5000), Y at (0.1539, 0.5000, 0.9095), Y at (0.2343, 0.1843, 0.7077) and Tm at (0.1039, 0.0000, 0.3553).

The value obtained for the density of states at the Fermi level is 1.77 states/eV per atom. As for the volume: 713.7 Å³ per cell.



Arrangement two

Dy2Y7Tm2 | PBE | optimized geometry

The structure belongs to space group Imm2 (No. 44); the cell edges are 5.5122, 15.8446 and 8.1299 Å and the angles 90.00°, 90.00° and 90.00°. Symmetry generates all atoms from Dy at (0.0000, 0.2009, 0.0000), Y at (0.0000, 0.0000, 0.2010), Y at (0.0000, 0.1607, 0.4987), Y at (0.0000, 0.3613, 0.7080), Y at (0.0000, 0.3637, 0.2928), Tm at (0.0000, 0.0000, 0.7872) and Tm at (0.0000, 0.5000, 0.9989).

The value obtained for the density of states at the Fermi level is 1.69 states/eV per atom. As for the volume: 710.1 Å³ per cell.



Top of the stability list: arrangement one, leading by 0.013 eV/atom.



Arrangement one

Dy4Y3Tm | PBE | optimized geometry

The structure belongs to space group C2/m (No. 12); the cell edges are 23.3886, 3.4765 and 6.6392 Å and the angles 90.00°, 106.43° and 90.00°. Symmetry generates all atoms from Dy at (0.1241, 0.0000, 0.3674), Dy at (0.2394, 0.5000, 0.2416), Y at (0.0000, 0.0000, 0.5000), Y at (0.1246, 0.0000, 0.8815) and Tm at (0.0000, 0.5000, 0.0000).

The value obtained for the density of states at the Fermi level is 1.78 states/eV per atom. As for the volume: 517.8 Å³ per cell.



Arrangement two

Dy4Y3Tm | PBE | optimized geometry

The structure belongs to space group Pmn2_1 (No. 31); the cell edges are 11.2322, 7.2630 and 6.2788 Å and the angles 90.00°, 90.00° and 90.00°. Symmetry generates all atoms from Dy at (0.0000, 0.1239, 0.0000), Dy at (0.0000, 0.8754, 0.4981), Dy at (0.2486, 0.8753, 0.8301), Y at (0.0000, 0.3744, 0.4954), Y at (0.2496, 0.3746, 0.8310) and Tm at (0.0000, 0.6258, 0.9958).

The value obtained for the density of states at the Fermi level is 1.74 states/eV per atom. As for the volume: 512.2 Å³ per cell.



Top of the stability list: arrangement two, leading by 0.165 eV/atom.



Arrangement one

Dy2YTm8 | PBE | optimized geometry

The structure belongs to space group C2/m (No. 12); the cell edges are 9.0588, 16.6180 and 5.8402 Å and the angles 90.00°, 127.97° and 90.00°. Symmetry generates all atoms from Dy at (0.0000, 0.1894, 0.0000), Y at (0.0000, 0.5000, 0.5000), Tm at (0.0000, 0.2978, 0.5000), Tm at (0.0372, 0.0000, 0.2759) and Tm at (0.2248, 0.3729, 0.2103).

The value obtained for the density of states at the Fermi level is 1.33 states/eV per atom. As for the volume: 693.1 Å³ per cell.



Arrangement two

Dy2YTm8 | PBE | optimized geometry

The structure belongs to space group Immm (No. 71); the cell edges are 5.4186, 8.0314 and 15.7056 Å and the angles 90.00°, 90.00° and 90.00°. Symmetry generates all atoms from Dy at (0.0000, 0.0000, 0.2014), Y at (0.0000, 0.0000, 0.5000), Tm at (0.0000, 0.2058, 0.0000), Tm at (0.0000, 0.2927, 0.3606) and Tm at (0.0000, 0.5000, 0.1607).

The value obtained for the density of states at the Fermi level is 1.51 states/eV per atom. As for the volume: 683.5 Å³ per cell.



Top of the stability list: arrangement two, leading by 0.034 eV/atom.